*A*
# PBEsol Os5Pt, optimized geometry
data_Os5Pt
_chemical_formula_sum 'Os10 Pt2'
_symmetry_space_group_name_H-M 'A m m 2'
_symmetry_Int_Tables_number 38
_symmetry_space_group_name_Hall 'A 2 -2'
_cell_length_a 4.345
_cell_length_b 2.738
_cell_length_c 14.250
_cell_angle_alpha 90.00
_cell_angle_beta 90.00
_cell_angle_gamma 90.00
loop_
_atom_site_label
_atom_site_type_symbol
_atom_site_fract_x
_atom_site_fract_y
_atom_site_fract_z
Os1 Os 0.000 0.000 0.000
Os2 Os 0.000 0.000 0.331
Os3 Os 0.000 0.000 0.665
Os4 Os 0.500 0.000 0.112
Os5 Os 0.500 0.000 0.772
Pt1 Pt 0.500 0.000 0.442
# M_tot = 0.0 μB per formula unit

*B*
# PBEsol Os5Pt, optimized geometry
data_Os5Pt
_chemical_formula_sum 'Os10 Pt2'
_symmetry_space_group_name_H-M 'C 1 m 1'
_symmetry_Int_Tables_number 8
_symmetry_space_group_name_Hall 'C -2y'
_cell_length_a 9.905
_cell_length_b 2.737
_cell_length_c 6.421
_cell_angle_alpha 90.00
_cell_angle_beta 103.91
_cell_angle_gamma 90.00
loop_
_atom_site_label
_atom_site_type_symbol
_atom_site_fract_x
_atom_site_fract_y
_atom_site_fract_z
Os1 Os 0.000 0.000 0.000
Os2 Os 0.055 0.000 0.619
Os3 Os 0.161 0.500 0.339
Os4 Os 0.217 0.500 0.941
Os5 Os 0.331 0.000 0.670
Pt1 Pt 0.385 0.000 0.279
# M_tot = 0.0 μB per formula unit

Short version: *A* is the most stable of them.

*A*
# PBEsol Os2Pt, optimized geometry
data_Os2Pt
_chemical_formula_sum 'Os8 Pt4'
_symmetry_space_group_name_H-M 'C m c m'
_symmetry_Int_Tables_number 63
_symmetry_space_group_name_Hall '-C 2c 2'
_cell_length_a 2.737
_cell_length_b 14.358
_cell_length_c 4.363
_cell_angle_alpha 90.00
_cell_angle_beta 90.00
_cell_angle_gamma 90.00
loop_
_atom_site_label
_atom_site_type_symbol
_atom_site_fract_x
_atom_site_fract_y
_atom_site_fract_z
Os1 Os 0.000 0.052 0.250
Os2 Os 0.000 0.393 0.250
Pt1 Pt 0.000 0.282 0.750
# M_tot = 0.0 μB per formula unit

*B*
# PBEsol Os2Pt, optimized geometry
data_Os2Pt
_chemical_formula_sum 'Os8 Pt4'
_symmetry_space_group_name_H-M 'C 1 2/m 1'
_symmetry_Int_Tables_number 12
_symmetry_space_group_name_Hall '-C 2y'
_cell_length_a 10.080
_cell_length_b 2.726
_cell_length_c 6.424
_cell_angle_alpha 90.00
_cell_angle_beta 104.00
_cell_angle_gamma 90.00
loop_
_atom_site_label
_atom_site_type_symbol
_atom_site_fract_x
_atom_site_fract_y
_atom_site_fract_z
Os1 Os 0.029 0.000 0.317
Os2 Os 0.191 0.500 0.632
Pt1 Pt 0.137 0.500 0.030
# M_tot = 0.0 μB per formula unit

*C*
# PBEsol Os2Pt, optimized geometry
data_Os2Pt
_chemical_formula_sum 'Os2 Pt1'
_symmetry_space_group_name_H-M 'P 4/m m m'
_symmetry_Int_Tables_number 123
_symmetry_space_group_name_Hall '-P 4 2'
_cell_length_a 4.460
_cell_length_b 4.460
_cell_length_c 2.631
_cell_angle_alpha 90.00
_cell_angle_beta 90.00
_cell_angle_gamma 90.00
loop_
_atom_site_label
_atom_site_type_symbol
_atom_site_fract_x
_atom_site_fract_y
_atom_site_fract_z
Os1 Os 0.000 0.500 0.000
Pt1 Pt 0.000 0.000 0.500
# M_tot = 0.0 μB per formula unit

Short version: *A* is the most stable of them.

*A*
# PBEsol Re2OsPt, optimized geometry
data_Re2OsPt
_chemical_formula_sum 'Re2 Os1 Pt1'
_symmetry_space_group_name_H-M 'P m m 2'
_symmetry_Int_Tables_number 25
_symmetry_space_group_name_Hall 'P 2 -2'
_cell_length_a 2.744
_cell_length_b 4.374
_cell_length_c 4.792
_cell_angle_alpha 90.00
_cell_angle_beta 90.00
_cell_angle_gamma 90.00
loop_
_atom_site_label
_atom_site_type_symbol
_atom_site_fract_x
_atom_site_fract_y
_atom_site_fract_z
Re1 Re 0.000 0.000 0.000
Re2 Re 0.000 0.500 0.326
Os1 Os 0.500 0.500 0.830
Pt1 Pt 0.500 0.000 0.496
# M_tot = 0.0 μB per formula unit

*B*
# PBEsol Re2OsPt, optimized geometry
data_Re2OsPt
_chemical_formula_sum 'Re8 Os4 Pt4'
_symmetry_space_group_name_H-M 'F m -3 m'
_symmetry_Int_Tables_number 225
_symmetry_space_group_name_Hall '-F 4 2 3'
_cell_length_a 6.186
_cell_length_b 6.186
_cell_length_c 6.186
_cell_angle_alpha 90.00
_cell_angle_beta 90.00
_cell_angle_gamma 90.00
loop_
_atom_site_label
_atom_site_type_symbol
_atom_site_fract_x
_atom_site_fract_y
_atom_site_fract_z
Re1 Re 0.250 0.250 0.250
Os1 Os 0.000 0.000 0.000
Pt1 Pt 0.000 0.000 0.500
# M_tot = 0.0 μB per formula unit

*C*
# PBEsol Re2OsPt, optimized geometry
data_Re2OsPt
_chemical_formula_sum 'Re6 Os3 Pt3'
_symmetry_space_group_name_H-M 'R -3 m'
_symmetry_Int_Tables_number 166
_symmetry_space_group_name_Hall '-R 3 2"'
_cell_length_a 2.7271
_cell_length_b 2.7271
_cell_length_c 26.9233
_cell_angle_alpha 90.00
_cell_angle_beta 90.00
_cell_angle_gamma 120.00
loop_
_atom_site_label
_atom_site_type_symbol
_atom_site_fract_x
_atom_site_fract_y
_atom_site_fract_z
Re1 Re 0.0000 0.0000 0.2483
Os1 Os 0.0000 0.0000 0.5000
Pt1 Pt 0.0000 0.0000 0.0000
# M_tot = 0.0 μB per formula unit

Short version: *A* is the most stable of them.

*A*
# PBEsol OsPtRh, optimized geometry
data_OsPtRh
_chemical_formula_sum 'Os2 Pt2 Rh2'
_symmetry_space_group_name_H-M 'I m m 2'
_symmetry_Int_Tables_number 44
_symmetry_space_group_name_Hall 'I 2 -2'
_cell_length_a 2.704
_cell_length_b 3.840
_cell_length_c 8.111
_cell_angle_alpha 90.00
_cell_angle_beta 90.00
_cell_angle_gamma 90.00
loop_
_atom_site_label
_atom_site_type_symbol
_atom_site_fract_x
_atom_site_fract_y
_atom_site_fract_z
Os1 Os 0.000 0.000 0.000
Pt1 Pt 0.000 0.000 0.668
Rh1 Rh 0.000 0.000 0.341
# M_tot = 0.0 μB per formula unit

*B*
# PBEsol OsPtRh, optimized geometry
data_OsPtRh
_chemical_formula_sum 'Os1 Pt1 Rh1'
_symmetry_space_group_name_H-M 'P 3 m 1'
_symmetry_Int_Tables_number 156
_symmetry_space_group_name_Hall 'P 3 -2"'
_cell_length_a 2.7102
_cell_length_b 2.7102
_cell_length_c 6.6594
_cell_angle_alpha 90.00
_cell_angle_beta 90.00
_cell_angle_gamma 120.00
loop_
_atom_site_label
_atom_site_type_symbol
_atom_site_fract_x
_atom_site_fract_y
_atom_site_fract_z
Os1 Os 0.0000 0.0000 0.0000
Pt1 Pt 0.3333 0.6667 0.6613
Rh1 Rh 0.6667 0.3333 0.3155
# M_tot = 0.0 μB per formula unit

Short version: *A* is the most stable of them.

*A*
# PBEsol OsPtRh, optimized geometry
data_OsPtRh
_chemical_formula_sum 'Os4 Pt4 Rh4'
_symmetry_space_group_name_H-M 'F -4 3 m'
_symmetry_Int_Tables_number 216
_symmetry_space_group_name_Hall 'F -4 2 3'
_cell_length_a 5.883
_cell_length_b 5.883
_cell_length_c 5.883
_cell_angle_alpha 90.00
_cell_angle_beta 90.00
_cell_angle_gamma 90.00
loop_
_atom_site_label
_atom_site_type_symbol
_atom_site_fract_x
_atom_site_fract_y
_atom_site_fract_z
Os1 Os 0.000 0.000 0.000
Pt1 Pt 0.250 0.250 0.750
Rh1 Rh 0.250 0.250 0.250
# M_tot = 0.0 μB per formula unit

*B*
# PBEsol OsPtRh, optimized geometry
data_OsPtRh
_chemical_formula_sum 'Os2 Pt2 Rh2'
_symmetry_space_group_name_H-M 'I 4 m m'
_symmetry_Int_Tables_number 107
_symmetry_space_group_name_Hall 'I 4 -2'
_cell_length_a 2.702
_cell_length_b 2.702
_cell_length_c 11.637
_cell_angle_alpha 90.00
_cell_angle_beta 90.00
_cell_angle_gamma 90.00
loop_
_atom_site_label
_atom_site_type_symbol
_atom_site_fract_x
_atom_site_fract_y
_atom_site_fract_z
Os1 Os 0.000 0.000 0.000
Pt1 Pt 0.000 0.000 0.668
Rh1 Rh 0.000 0.000 0.346
# M_tot = 0.0 μB per formula unit

Short version: *B* is the most stable of them.

*A*
# PBEsol OsPt2Rh, optimized geometry
data_OsPt2Rh
_chemical_formula_sum 'Os4 Pt8 Rh4'
_symmetry_space_group_name_H-M 'F m -3 m'
_symmetry_Int_Tables_number 225
_symmetry_space_group_name_Hall '-F 4 2 3'
_cell_length_a 6.160
_cell_length_b 6.160
_cell_length_c 6.160
_cell_angle_alpha 90.00
_cell_angle_beta 90.00
_cell_angle_gamma 90.00
loop_
_atom_site_label
_atom_site_type_symbol
_atom_site_fract_x
_atom_site_fract_y
_atom_site_fract_z
Os1 Os 0.000 0.000 0.000
Pt1 Pt 0.250 0.250 0.250
Rh1 Rh 0.000 0.000 0.500
# M_tot = 0.0 μB per formula unit

*B*
# PBEsol OsPt2Rh, optimized geometry
data_OsPt2Rh
_chemical_formula_sum 'Os1 Pt2 Rh1'
_symmetry_space_group_name_H-M 'P 4/m m m'
_symmetry_Int_Tables_number 123
_symmetry_space_group_name_Hall '-P 4 2'
_cell_length_a 2.722
_cell_length_b 2.722
_cell_length_c 7.714
_cell_angle_alpha 90.00
_cell_angle_beta 90.00
_cell_angle_gamma 90.00
loop_
_atom_site_label
_atom_site_type_symbol
_atom_site_fract_x
_atom_site_fract_y
_atom_site_fract_z
Os1 Os 0.000 0.000 0.000
Pt1 Pt 0.500 0.500 0.246
Rh1 Rh 0.000 0.000 0.500
# M_tot = 0.0 μB per formula unit

*C*
# PBEsol OsPt2Rh, optimized geometry
data_OsPt2Rh
_chemical_formula_sum 'Os1 Pt2 Rh1'
_symmetry_space_group_name_H-M 'P 4 m m'
_symmetry_Int_Tables_number 99
_symmetry_space_group_name_Hall 'P 4 -2'
_cell_length_a 2.708
_cell_length_b 2.708
_cell_length_c 7.804
_cell_angle_alpha 90.00
_cell_angle_beta 90.00
_cell_angle_gamma 90.00
loop_
_atom_site_label
_atom_site_type_symbol
_atom_site_fract_x
_atom_site_fract_y
_atom_site_fract_z
Os1 Os 0.000 0.000 0.000
Pt1 Pt 0.000 0.000 0.513
Pt2 Pt 0.500 0.500 0.248
Rh1 Rh 0.500 0.500 0.770
# M_tot = 0.0 μB per formula unit

Short version: *C* is the most stable of them.